(1)
The following is a DFT calculation (SCAN) of a PBEsol-optimized structure of Cd2PI.

Properties
- SG = No. 225
- M_tot (μB/f.u.) = 0.00
- calculated volume (Å³/atom) = 23.1
- uncorrected formation energy (eV per atom) = 0.49
- relative energy among the computed polymorphs (meV per atom) = 826.0
- raw total energy (eV per atom) = -26.498

Cell lengths 5.075, 5.075, 5.075 Å; angles 60.00, 60.00, 60.00 degrees
Fractional positions:
I 0.500 0.500 0.500
Cd 0.750 0.750 0.750
Cd 0.250 0.250 0.250
P 0.000 0.000 0.000

(2)
The following is a DFT calculation (SCAN) of a PBEsol-optimized structure of NiPRh2.

Properties
- SG = No. 38
- M_tot (μB/f.u.) = 0.00
- calculated volume (Å³/atom) = 12.6
- energy of formation (eV/atom) = -0.30
- raw total energy (eV per atom) = -23.833

Cell lengths 2.780, 3.456, 5.408 Å; angles 90.00, 104.89, 90.00 degrees
Fractional positions:
Rh 0.822 0.000 0.645
Rh 0.176 0.500 0.351
P 0.963 0.500 0.927
Ni 0.539 0.000 0.078

(3)
The following is a DFT calculation (SCAN) of a PBEsol-optimized structure of GaGe2BiIr.

Properties
- SG = No. 123
- M_tot (μB/f.u.) = 0.00
- calculated volume (Å³/atom) = 29.0
- energy of formation (eV/atom) = 1.51
- raw total energy (eV per atom) = -39.334

Cell lengths 4.979, 5.395, 5.395 Å; angles 90.00, 90.00, 90.00 degrees
Fractional positions:
Bi 0.000 0.000 0.000
Ga 0.500 0.500 0.500
Ge 0.000 0.000 0.500
Ge 0.000 0.500 0.000
Ir 0.500 0.000 0.000

(4)
The following is a DFT calculation (SCAN) of a PBEsol-optimized structure of KSc2Au.

Properties
- SG = No. 71
- M_tot (μB/f.u.) = 0.38
- calculated volume (Å³/atom) = 26.1
- energy of formation (eV/atom) = -0.07
- relative energy among the computed polymorphs (meV per atom) = 153.9
- raw total energy (eV per atom) = -26.562

Cell lengths 3.196, 5.664, 6.612 Å; angles 115.36, 103.98, 90.00 degrees
Site moments in Bohr magnetons follow the coordinates.
Fractional positions:
Sc 0.299 0.299 0.599  -0.10
K 0.500 0.000 0.000  -0.01
Sc 0.701 0.701 0.401  -0.10
Au 0.000 0.500 0.000  0.00

(5)
The following is a DFT calculation (SCAN) of a PBEsol-optimized structure of ZrPNCl2.

Properties
- SG = No. 123
- M_tot (μB/f.u.) = 0.00
- calculated volume (Å³/atom) = 14.9
- uncorrected formation energy (eV per atom) = 0.53
- relative energy among the computed polymorphs (meV per atom) = 435.9
- raw total energy (eV per atom) = -12.735

Cell lengths 4.255, 4.185, 4.185 Å; angles 90.00, 90.00, 90.00 degrees
Fractional positions:
N 0.000 0.000 0.000
Cl 0.000 0.000 0.500
Zr 0.500 0.500 0.500
Cl 0.000 0.500 0.000
P 0.500 0.000 0.000

(6)
The following is a DFT calculation (SCAN) of a PBEsol-optimized structure of AlCo2As.

Properties
- SG = No. 44
- M_tot (μB/f.u.) = 0.00
- calculated volume (Å³/atom) = 12.0
- energy of formation (eV/atom) = -0.11
- relative energy among the computed polymorphs (meV per atom) = 149.8
- raw total energy (eV per atom) = -15.748

Cell lengths 3.174, 3.596, 4.841 Å; angles 111.80, 109.14, 90.00 degrees
Fractional positions:
As 0.272 0.772 0.544
Co 0.740 0.240 0.480
Al 0.511 0.511 0.022
Co 0.977 0.977 0.955

(7)
The following is a DFT calculation (SCAN) of a PBEsol-optimized structure of Cr2ReCl.

Properties
- SG = No. 225
- M_tot (μB/f.u.) = 4.53
- calculated volume (Å³/atom) = 13.0
- uncorrected formation energy (eV per atom) = 1.06
- raw total energy (eV per atom) = -27.900

Cell lengths 4.188, 4.188, 4.188 Å; angles 60.00, 60.00, 60.00 degrees
Site moments in Bohr magnetons follow the coordinates.
Fractional positions:
Cr 0.250 0.250 0.250  2.73
Cr 0.750 0.750 0.750  2.73
Cl 0.000 0.000 0.000  0.04
Re 0.500 0.500 0.500  -1.11

(8)
The following is a DFT calculation (SCAN) of a PBEsol-optimized structure of I2Br.

Properties
- SG = No. 5
- M_tot (μB/f.u.) = 0.00
- calculated volume (Å³/atom) = 39.3
- uncorrected formation energy (eV per atom) = -0.04
- raw total energy (eV per atom) = -31.016

Cell lengths 4.666, 4.417, 13.532 Å; angles 93.93, 90.00, 121.89 degrees
Fractional positions:
I 0.380 0.000 0.500
Br 0.600 0.367 0.337
I 0.740 0.000 0.000
I 0.027 0.859 0.829
I 0.169 0.141 0.171
Br 0.233 0.633 0.663

(9)
The following is a DFT calculation (SCAN) of a PBEsol-optimized structure of CdCoPb2.

Properties
- SG = No. 10
- M_tot (μB/f.u.) = 1.48
- calculated volume (Å³/atom) = 21.9
- energy of formation (eV/atom) = 0.34
- raw total energy (eV per atom) = -49.480

Cell lengths 3.210, 3.213, 8.510 Å; angles 90.00, 91.71, 90.00 degrees
Site moments in Bohr magnetons follow the coordinates.
Fractional positions:
Pb 0.013 0.000 0.694  -0.03
Pb 0.987 0.000 0.306  -0.03
Co 0.500 0.500 0.500  1.62
Cd 0.500 0.500 0.000  -0.01

(10)
The following is a DFT calculation (SCAN) of a PBEsol-optimized structure of SnH6CI3N.

Properties
- SG = No. 1
- M_tot (μB/f.u.) = 0.00
- calculated volume (Å³/atom) = 19.5
- raw total energy (eV per atom) = -15.895

Cell lengths 8.762, 8.690, 12.295 Å; angles 89.05, 91.21, 89.02 degrees
Fractional positions:
Sn 0.998 0.008 0.485
I 0.263 0.770 0.462
I 0.245 0.257 0.501
H 0.583 0.036 0.616
N 0.985 0.459 0.158
H 0.939 0.585 0.804
H 0.074 0.425 0.808
H 0.971 0.603 0.608
I 0.538 0.443 0.239
C 0.985 0.486 0.759
I 0.745 0.248 0.538
H 0.569 0.925 0.306
N 0.545 0.039 0.153
H 0.381 0.121 0.739
H 0.629 0.120 0.169
H 0.075 0.494 0.110
H 0.980 0.662 0.249
I 0.238 0.733 0.035
H 0.427 0.924 0.604
I 0.014 0.946 0.739
H 0.141 0.619 0.673
H 0.391 0.933 0.802
H 0.597 0.951 0.110
H 0.580 0.857 0.672
H 0.553 0.059 0.810
Sn 0.504 0.497 0.482
H 0.098 0.455 0.612
I 0.754 0.255 0.954
H 0.391 0.896 0.235
Sn 0.999 0.992 0.982
N 0.052 0.544 0.657
I 0.743 0.747 0.004
H 0.427 0.078 0.298
H 0.885 0.485 0.114
H 0.462 0.093 0.103
C 0.456 0.022 0.759
H 0.889 0.500 0.311
I 0.957 0.057 0.237
H 0.991 0.339 0.169
I 0.764 0.739 0.487
H 0.095 0.507 0.308
C 0.479 0.981 0.255
Sn 0.494 0.499 0.983
N 0.515 0.956 0.658
C 0.988 0.537 0.264
I 0.460 0.556 0.738
I 0.257 0.234 0.986
H 0.893 0.407 0.739

(11)
The following is a DFT calculation (SCAN) of a PBEsol-optimized structure of Os3Pt.

Properties
- SG = No. 187
- M_tot (μB/f.u.) = 0.00
- calculated volume (Å³/atom) = 14.2
- energy of formation (eV/atom) = 0.06
- raw total energy (eV per atom) = -71.394

Cell lengths 2.736, 2.736, 8.761 Å; angles 90.00, 90.00, 120.00 degrees
Fractional positions:
Os 0.333 0.667 0.760
Os 0.333 0.667 0.240
Os 0.000 0.000 0.000
Pt 0.000 0.000 0.500

(12)
The following is a DFT calculation (SCAN) of a PBEsol-optimized structure of VNi3.

Properties
- SG = No. 139
- M_tot (μB/f.u.) = 0.00
- calculated volume (Å³/atom) = 10.7
- energy of formation (eV/atom) = -0.24
- raw total energy (eV per atom) = -16.741

Cell lengths 3.478, 3.478, 4.318 Å; angles 113.75, 113.75, 90.00 degrees
Fractional positions:
V 0.000 0.000 0.000
Ni 0.250 0.750 0.500
Ni 0.500 0.500 0.000
Ni 0.750 0.250 0.500